Entry 1:
# SrMnTl2, relaxed, DFT PBE
# **Energy of formation from the pure elements**: 212 meV per atom
# **Total DFT energy (no corrections)**: -3.6843 eV per atom
data_SrMnTl2
_chemical_formula_sum 'Sr3 Mn3 Tl6'
_symmetry_space_group_name_H-M 'R -3 m'
_symmetry_Int_Tables_number 166
_symmetry_space_group_name_Hall '-R 3 2"'
_cell_length_a 3.8405
_cell_length_b 3.8405
_cell_length_c 27.3143
_cell_angle_alpha 90.00
_cell_angle_beta 90.00
_cell_angle_gamma 120.00
loop_
_atom_site_label
_atom_site_type_symbol
_atom_site_fract_x
_atom_site_fract_y
_atom_site_fract_z
Sr1 Sr 0.0000 0.0000 0.0000
Mn1 Mn 0.0000 0.0000 0.5000
Tl1 Tl 0.0000 0.0000 0.2361

***

Entry 2:
# ErSc2Ga4, relaxed, DFT PBE
# **Energy of formation from the pure elements**: -601 meV per atom
# **Total DFT energy (no corrections)**: -4.7919 eV per atom
data_ErSc2Ga4
_chemical_formula_sum 'Er2 Sc4 Ga8'
_symmetry_space_group_name_H-M 'I m m m'
_symmetry_Int_Tables_number 71
_symmetry_space_group_name_Hall '-I 2 2'
_cell_length_a 3.7133
_cell_length_b 4.1597
_cell_length_c 18.1402
_cell_angle_alpha 90.00
_cell_angle_beta 90.00
_cell_angle_gamma 90.00
loop_
_atom_site_label
_atom_site_type_symbol
_atom_site_fract_x
_atom_site_fract_y
_atom_site_fract_z
Er1 Er 0.0000 0.0000 0.0000
Sc1 Sc 0.0000 0.5000 0.1916
Ga1 Ga 0.0000 0.0000 0.4306
Ga2 Ga 0.0000 0.5000 0.3487

***

Entry 3:
# Dy6C2SBr2, relaxed, DFT PBE
# **Formation energy without anion corrections**: -10.932 eV per formula unit
# **Total DFT energy (no corrections)**: -5.8605 eV per atom
data_Dy6C2SBr2
_chemical_formula_sum 'Dy12 C4 S2 Br4'
_symmetry_space_group_name_H-M 'C 1 2/m 1'
_symmetry_Int_Tables_number 12
_cell_length_a 6.5538
_cell_length_b 11.3098
_cell_length_c 7.0201
_cell_angle_alpha 90.00
_cell_angle_beta 106.89
_cell_angle_gamma 90.00
loop_
_symmetry_equiv_pos_as_xyz
'x,y,z'
'-x,-y,-z'
'-x,y,-z'
'x,-y,z'
'x+1/2,y+1/2,z'
'-x+1/2,-y+1/2,-z'
'-x+1/2,y+1/2,-z'
'x+1/2,-y+1/2,z'
loop_
_atom_site_label
_atom_site_type_symbol
_atom_site_fract_x
_atom_site_fract_y
_atom_site_fract_z
Dy1 Dy 0.1976 0.0000 0.1997
Dy2 Dy 0.2451 0.3250 0.1966
C1 C 0.0000 0.1693 0.0000
S1 S 0.0000 0.5000 0.0000
Br1 Br 0.0000 0.3395 0.5000

***

Entry 4:
# TmMg5Sn6, relaxed, DFT PBE
# **ΔE to the lowest computed polymorph**: 0.0271 eV per atom
# **Energy of formation from the pure elements**: -181 meV per atom
# **Total DFT energy (no corrections)**: -3.2198 eV per atom
data_TmMg5Sn6
_chemical_formula_sum 'Tm2 Mg10 Sn12'
_symmetry_space_group_name_H-M 'C 1 2/m 1'
_symmetry_Int_Tables_number 12
_cell_length_a 9.4033
_cell_length_b 10.2049
_cell_length_c 6.3582
_cell_angle_alpha 90.00
_cell_angle_beta 101.23
_cell_angle_gamma 90.00
loop_
_symmetry_equiv_pos_as_xyz
'x,y,z'
'-x,-y,-z'
'-x,y,-z'
'x,-y,z'
'x+1/2,y+1/2,z'
'-x+1/2,-y+1/2,-z'
'-x+1/2,y+1/2,-z'
'x+1/2,-y+1/2,z'
loop_
_atom_site_label
_atom_site_type_symbol
_atom_site_fract_x
_atom_site_fract_y
_atom_site_fract_z
Tm1 Tm 0.0000 0.0000 0.0000
Mg1 Mg 0.0000 0.1641 0.5000
Mg2 Mg 0.0000 0.3363 0.0000
Mg3 Mg 0.0000 0.5000 0.5000
Sn1 Sn 0.2455 0.3304 0.7405
Sn2 Sn 0.2464 0.5000 0.2496

***

Entry 5:
# Li17Ca2Hg3, relaxed, DFT PBE
# **Energy of formation from the pure elements**: -68 meV per atom
# **Total DFT energy (no corrections)**: -1.7702 eV per atom
data_Li17Ca2Hg3
_chemical_formula_sum 'Li51 Ca6 Hg9'
_symmetry_space_group_name_H-M 'R -3 m'
_symmetry_Int_Tables_number 166
_symmetry_space_group_name_Hall '-R 3 2"'
_cell_length_a 10.6882
_cell_length_b 10.6882
_cell_length_c 15.1182
_cell_angle_alpha 90.00
_cell_angle_beta 90.00
_cell_angle_gamma 120.00
loop_
_atom_site_label
_atom_site_type_symbol
_atom_site_fract_x
_atom_site_fract_y
_atom_site_fract_z
Li1 Li 0.0000 0.0000 0.0979
Li2 Li 0.0000 0.2580 0.0000
Li3 Li 0.0000 0.5000 0.5000
Li4 Li 0.0190 0.5095 0.1769
Ca1 Ca 0.0000 0.0000 0.3350
Hg1 Hg 0.0000 0.5000 0.0000

***

Entry 6:
# ErScSe2, relaxed, DFT PBE
# **ΔE to the lowest computed polymorph**: 0.0000 eV per atom
# **Formation energy without anion corrections**: -6.622 eV per formula unit
# **Total DFT energy (no corrections)**: -6.1214 eV per atom
data_ErScSe2
_chemical_formula_sum 'Er3 Sc3 Se6'
_symmetry_space_group_name_H-M 'R 3 m'
_symmetry_Int_Tables_number 160
_symmetry_space_group_name_Hall 'R 3 -2"'
_cell_length_a 3.8530
_cell_length_b 3.8530
_cell_length_c 20.5804
_cell_angle_alpha 90.00
_cell_angle_beta 90.00
_cell_angle_gamma 120.00
loop_
_atom_site_label
_atom_site_type_symbol
_atom_site_fract_x
_atom_site_fract_y
_atom_site_fract_z
Er1 Er 0.0000 0.0000 0.0000
Sc1 Sc 0.0000 0.0000 0.8239
Se1 Se 0.0000 0.0000 0.2410
Se2 Se 0.0000 0.0000 0.4182

***

Q: total DFT energy (no corrections) of number 6 (ErScSe2)?
A: -6.1214 eV per atom

***

Q: Which formula does entry 3 have?
A: Dy6C2SBr2

***

Q: Look up the total DFT energy (no corrections) of the fourth one.
A: -3.2198 eV per atom